Entry 1:
LiTbSn2Rh4 | GGA-PBE | optimized geometry

POSCAR file:
```
LiTbSn2Rh4
1.0
2.269 1.310 7.524
-2.269 1.310 7.524
0.000 -2.620 7.524
Li Tb Sn Rh
1 1 2 4
Direct
0.000 0.000 0.000
0.500 0.500 0.500
0.255 0.255 0.255
0.745 0.745 0.745
0.119 0.119 0.119
0.374 0.374 0.374
0.626 0.626 0.626
0.881 0.881 0.881
```

The formation energy is -0.668 eV per atom.



Entry 2:
TcHBr2 | GGA-PBE | optimized geometry

POSCAR file:
```
TcHBr2
1.0
-2.731 2.731 4.914
2.731 -2.731 4.914
2.731 2.731 -4.914
Tc H Br
2 2 4
Direct
0.000 0.000 0.000
0.750 0.250 0.500
0.250 0.750 0.500
0.500 0.500 0.000
0.170 0.625 0.045
0.375 0.420 0.545
0.580 0.125 0.955
0.875 0.830 0.455
```

The value obtained for the distance to the lowest polymorph of the same formula is 183.1 meV per atom.



Entry 3:
CaPmAg4 | GGA-PBE | optimized geometry

POSCAR file:
```
CaPmAg4
1.0
4.307 -4.088 0.000
4.307 4.088 0.000
-2.656 0.000 4.004
Ca Pm Ag
1 1 4
Direct
0.000 0.000 0.000
0.417 0.583 0.500
0.001 0.415 0.707
0.419 0.174 0.797
0.585 0.999 0.293
0.826 0.581 0.203
```

The value obtained for the distance to the lowest polymorph of the same formula is 0.0 meV per atom. The formation energy is -0.270 eV per atom.



Entry 4:
Sr8NiH2 | GGA-PBE | optimized geometry

POSCAR file:
```
Sr8NiH2
1.0
6.932 -4.393 0.000
6.932 4.393 0.000
-0.206 0.000 7.217
Sr Ni H
8 1 2
Direct
0.107 0.656 0.688
0.138 0.138 0.825
0.344 0.893 0.312
0.367 0.367 0.189
0.633 0.633 0.811
0.656 0.107 0.688
0.862 0.862 0.175
0.893 0.344 0.312
0.000 0.000 0.500
0.190 0.190 0.159
0.810 0.810 0.841
```



Entry 5:
CeNdPt3 | GGA-PBE | optimized geometry

POSCAR file:
```
CeNdPt3
1.0
7.153 0.000 0.000
0.000 7.909 0.000
0.000 0.000 7.834
Ce Nd Pt
4 4 12
Direct
0.215 0.137 0.000
0.285 0.637 0.500
0.715 0.363 0.500
0.785 0.863 0.000
0.210 0.138 0.500
0.290 0.638 0.000
0.710 0.362 0.000
0.790 0.862 0.500
0.000 0.500 0.262
0.000 0.500 0.738
0.119 0.856 0.250
0.119 0.856 0.750
0.381 0.356 0.250
0.381 0.356 0.750
0.500 0.000 0.238
0.500 0.000 0.762
0.619 0.644 0.250
0.619 0.644 0.750
0.881 0.144 0.250
0.881 0.144 0.750
```

The formation energy is -1.037 eV per atom.



Entry 6:
Cs2Rb4GeP2 | GGA-PBE | optimized geometry

POSCAR file:
```
Cs2Rb4GeP2
1.0
8.711 -5.025 0.000
8.711 5.025 0.000
-2.008 0.000 7.109
Cs Rb Ge P
2 4 1 2
Direct
0.238 0.238 0.488
0.762 0.762 0.512
0.167 0.626 0.089
0.374 0.833 0.911
0.626 0.167 0.089
0.833 0.374 0.911
0.500 0.500 0.500
0.447 0.447 0.729
0.553 0.553 0.271
```

The formation energy is -0.038 eV per atom.



Entry 7:
ZrZn2Sn | GGA-PBE | optimized geometry

POSCAR file:
```
ZrZn2Sn
1.0
2.156 1.245 4.925
-2.156 1.245 4.925
0.000 -2.490 4.925
Zr Zn Sn
1 2 1
Direct
0.000 0.000 0.000
0.242 0.242 0.242
0.758 0.758 0.758
0.500 0.500 0.500
```

The formation energy is -0.015 eV per atom.



Entry 8:
In5P3 | GGA-PBE | optimized geometry

POSCAR file:
```
In5P3
1.0
4.068 -5.940 0.000
4.068 5.940 0.000
0.000 0.000 3.988
In P
5 3
Direct
0.000 0.000 0.000
0.000 0.500 0.000
0.284 0.284 0.500
0.500 0.000 0.000
0.716 0.716 0.500
0.172 0.828 0.500
0.500 0.500 0.000
0.828 0.172 0.500
```

The formation energy is 0.202 eV per atom.



| no. | final energy (eV per formula unit) |
| --- | --- |
| 1 | -49.302 |
| 2 | -14.261 |
| 3 | -19.779 |
| 4 | -27.447 |
| 5 | -34.008 |
| 6 | -21.352 |
| 7 | -15.159 |
| 8 | -28.309 |